Here is crystalline LaFe3W at its relaxed geometry from Alexandria. Energies are from PBE-GGA.

The space group is Pm-3m (No. 221) and the conventional cell measures 4.422, 4.422 and 4.422 Å, with angles of 90.00, 90.00 and 90.00 degrees. The asymmetric unit holds La at (0.000, 0.000, 0.000), Fe at (0.000, 0.000, 0.500) and W at (0.500, 0.500, 0.500).

For the total moment, the calculation gives 4.2 Bohr magnetons per cell. As for the offset from the most stable computed form: 1266 meV/atom. The formation energy comes out at 203.5 kJ/mol of atoms. For the total energy, the calculation gives -6.545 eV/atom. The value obtained for the mass density is 9.41 Mg/m³.